1.
BaZn2NiPb | PBE | optimized geometry

Results
The total energy comes out at -14.73 eV for the cell shown. The value obtained for the theoretical density is 7.24 g cm⁻³.

a b c (Å): 4.908 4.908 5.084
angles (deg): 90.00 90.00 90.00
Space group P4/mmm (No. 123)
Unique sites:
1 Ba 0.000 0.000 0.000 [1 per cell]
2 Zn 0.000 0.500 0.500 [2 per cell]
3 Ni 0.500 0.500 0.500 [1 per cell]
4 Pb 0.500 0.500 0.000 [1 per cell]


2.
BaZnNiPb | PBE | optimized geometry

Results
For the polymorph energy (0 for the lowest one), the calculation gives 80.4 meV per atom. The value obtained for the theoretical density is 6.95 g cm⁻³.

a b c (Å): 4.479 4.347 11.495
angles (deg): 90.00 90.00 90.00
Space group Amm2 (No. 38)
Unique sites:
1 Ba 0.000 0.000 0.000 [2 per cell]
2 Zn 0.000 0.000 0.285 [2 per cell]
3 Ni 0.500 0.000 0.350 [2 per cell]
4 Pb 0.500 0.000 0.717 [2 per cell]


3.
BaZnNiPb | PBE | optimized geometry

Results
For the polymorph energy (0 for the lowest one), the calculation gives 137.7 meV per atom. The value obtained for the theoretical density is 6.89 g cm⁻³.

a b c (Å): 3.971 4.995 11.394
angles (deg): 90.00 90.00 90.00
Space group Imm2 (No. 44)
Unique sites:
1 Ba 0.000 0.000 0.000 [2 per cell]
2 Zn 0.000 0.000 0.639 [2 per cell]
3 Ni 0.000 0.000 0.426 [2 per cell]
4 Pb 0.000 0.500 0.772 [2 per cell]


4.
BaZnNiPb | PBE | optimized geometry

Results
For the polymorph energy (0 for the lowest one), the calculation gives 39.4 meV per atom. The value obtained for the theoretical density is 7.03 g cm⁻³.

a b c (Å): 10.821 4.403 4.936
angles (deg): 90.00 109.67 90.00
Space group Cm (No. 8)
Unique sites:
1 Ba 0.000 0.000 0.000 [2 per cell]
2 Zn 0.334 0.000 0.359 [2 per cell]
3 Ni 0.242 0.500 0.190 [2 per cell]
4 Pb 0.160 0.500 0.626 [2 per cell]


5.
BaZnNiPb | PBE | optimized geometry

Results
For the polymorph energy (0 for the lowest one), the calculation gives 0.0 meV per atom. The value obtained for the theoretical density is 7.31 g cm⁻³.

a b c (Å): 4.4653 4.4653 18.5021
angles (deg): 90.00 90.00 120.00
Space group R3m (No. 160, hexagonal axes)
Unique sites:
1 Ba 0.0000 0.0000 0.0000 [3 per cell]
2 Zn 0.0000 0.0000 0.4587 [3 per cell]
3 Ni 0.0000 0.0000 0.8037 [3 per cell]
4 Pb 0.0000 0.0000 0.1951 [3 per cell]


6.
BaZnNiPb | PBE | optimized geometry

Results
For the polymorph energy (0 for the lowest one), the calculation gives 23.8 meV per atom. The value obtained for the theoretical density is 7.18 g cm⁻³.

a b c (Å): 7.827 4.571 6.598
angles (deg): 90.00 113.35 90.00
Space group Cm (No. 8)
Unique sites:
1 Ba 0.000 0.000 0.000 [2 per cell]
2 Zn 0.297 0.500 0.394 [2 per cell]
3 Ni 0.162 0.000 0.494 [2 per cell]
4 Pb 0.030 0.500 0.594 [2 per cell]


7.
BaZrNiPb2 | PBE | optimized geometry

Results
The total energy comes out at -23.04 eV for the cell shown. The value obtained for the theoretical density is 8.10 g cm⁻³.

a b c (Å): 5.291 5.291 5.140
angles (deg): 90.00 90.00 90.00
Space group P4/mmm (No. 123)
Unique sites:
1 Ba 0.000 0.000 0.000 [1 per cell]
2 Zr 0.500 0.500 0.000 [1 per cell]
3 Ni 0.500 0.500 0.500 [1 per cell]
4 Pb 0.000 0.500 0.500 [2 per cell]


8.
Ba6NiPd | PBE | optimized geometry

Results
The total energy comes out at -47.45 eV for the cell shown. The value obtained for the theoretical density is 4.12 g cm⁻³.

a b c (Å): 7.8489 7.8489 14.9473
angles (deg): 90.00 90.00 120.00
Space group P-31c (No. 163)
Unique sites:
1 Ba 0.0082 0.3291 0.1238 [12 per cell]
2 Ni 0.0000 0.0000 0.0000 [2 per cell]
3 Pd 0.3333 0.6667 0.2500 [2 per cell]